The following is a DFT calculation (PBE) of Sr2PrCu2Bi2O8 after structural relaxation.

**Space-group type**: No. 139
**E_tot**: -89.901 eV/cell

The structure in extended XYZ format:
```
15
Lattice="-0.711 3.262 15.363 -2.489 -1.849 15.413 4.141 -1.587 -15.084" Properties=species:S:1:pos:R:3 pbc="T T T"
Pr 0.000 0.000 0.000
Sr -0.369 0.163 3.550
Sr -2.831 1.250 27.227
Cu -1.424 0.629 13.693
Cu -1.776 0.784 17.084
Bi -0.948 0.419 9.120
Bi -2.252 0.994 21.657
O 1.548 0.911 1.741
O -0.608 -1.085 13.952
O 0.659 -1.645 1.766
O 0.281 1.471 13.927
O -0.646 0.285 6.210
O -2.554 1.128 24.567
O -1.167 0.515 11.226
O -2.033 0.898 19.551
```

***

The following is a DFT calculation (PBE) of Ni3Br2 after structural relaxation.

**Space-group type**: No. 166
**E_tot**: -18.737 eV/cell

The structure in extended XYZ format:
```
5
Lattice="-7.762 -2.096 1.757 -6.186 -2.523 4.805 -7.254 0.620 3.836" Properties=species:S:1:pos:R:3 pbc="T T T"
Ni 0.000 0.000 0.000
Ni -17.093 -3.224 8.384
Ni -4.108 -0.775 2.015
Br -8.483 -1.600 4.161
Br -12.719 -2.399 6.238
```

***

The following is a DFT calculation (PBE) of Ta2TiH4 after structural relaxation.

**E above lowest polymorph**: 0.000 eV per atom
**Space-group type**: No. 15

The structure in extended XYZ format:
```
14
Lattice="5.750 0.196 -0.092 -0.219 5.749 0.087 -2.703 -3.036 4.057" Properties=species:S:1:pos:R:3 pbc="T T T"
Ta 1.485 0.002 3.017
Ta 2.727 4.394 1.032
Ta 2.836 1.520 0.989
Ta -1.390 -0.096 3.063
Ti -0.066 2.832 2.070
Ti 3.035 -2.828 3.965
H 4.223 0.131 1.015
H 1.449 2.908 0.963
H 2.877 1.389 2.950
H 2.967 -1.279 2.906
H 1.555 0.030 1.054
H 0.093 -1.385 3.085
H 0.002 1.283 3.129
H 4.117 3.010 0.925
```

***

The following is a DFT calculation (PBE) of LiGaHgPb after structural relaxation.

**Energy of formation from the pure elements**: -2.3 kcal/mol of atoms
**Space-group type**: No. 216

The structure in extended XYZ format:
```
4
Lattice="-0.510 -3.182 3.846 3.629 -3.314 1.012 2.829 0.554 4.107" Properties=species:S:1:pos:R:3 pbc="T T T"
Pb 1.487 -1.486 2.241
Hg 4.461 -4.457 6.723
Ga 2.974 -2.971 4.482
Li 0.000 0.000 0.000
```

***

The following is a DFT calculation (PBE) of HfNbBi2W after structural relaxation.

**Energy of formation from the pure elements**: 43.9 kcal/mol of atoms
**E above lowest polymorph**: 0.243 eV per atom
**Space-group type**: No. 123

The structure in extended XYZ format:
```
5
Lattice="5.490 0.000 0.000 0.000 4.889 0.000 0.000 0.000 5.490" Properties=species:S:1:pos:R:3 pbc="T T T"
Nb 0.000 2.445 0.000
Hf 0.000 0.000 0.000
Bi 0.000 0.000 2.745
Bi 2.745 0.000 0.000
W 2.745 2.445 2.745
```

***

The following is a DFT calculation (PBE) of ThGeIr4 after structural relaxation.

**Energy of formation from the pure elements**: -9.8 kcal/mol of atoms
**E above lowest polymorph**: 0.000 eV per atom
**Space-group type**: No. 51

The structure in extended XYZ format:
```
12
Lattice="4.047 0.000 0.000 0.000 6.898 0.000 0.000 0.000 7.571" Properties=species:S:1:pos:R:3 pbc="T T T"
Th 0.000 4.466 5.678
Th 0.000 2.432 1.893
Ge 0.000 1.550 5.678
Ge 0.000 5.348 1.893
Ir 0.000 0.000 3.785
Ir 0.000 0.000 0.000
Ir 2.023 6.588 5.678
Ir 2.023 0.310 1.893
Ir 2.023 4.817 0.327
Ir 2.023 2.081 7.243
Ir 2.023 4.817 3.458
Ir 2.023 2.081 4.113
```